[1]
Below is a relaxed structure of Fe2NiP, with properties calculated at the PBE-GGA level.

abc: 6.761 6.761 6.761
angles: 96.10 96.10 141.93
Element x y z (fractional)
Ni 0.345 0.010 0.393
Ni 0.617 0.952 0.607
Ni 0.048 0.655 0.665
Ni 0.990 0.383 0.335
Fe 0.923 0.967 0.393
Fe 0.033 0.426 0.956
Fe 0.880 0.695 0.027
Fe 0.574 0.530 0.607
Fe 0.147 0.120 0.815
Fe 0.668 0.853 0.973
Fe 0.305 0.332 0.185
Fe 0.470 0.077 0.044
P 0.475 0.806 0.247
P 0.559 0.228 0.753
P 0.772 0.525 0.331
P 0.194 0.441 0.669

Results
calculated formation energy = -0.34 eV per atom
symmetry = I-4

---

[2]
Below is a relaxed structure of Fe3Ni3P2, with properties calculated at the PBE-GGA level.

abc: 6.721 6.721 8.974
angles: 48.20 48.20 38.31
Element x y z (fractional)
P 0.191 0.225 0.342
P 0.469 0.435 0.758
P 0.775 0.809 0.658
P 0.565 0.531 0.242
Fe 0.304 0.847 0.816
Fe 0.153 0.696 0.184
Fe 0.664 0.124 0.028
Fe 0.057 0.011 0.329
Fe 0.989 0.943 0.671
Fe 0.876 0.336 0.972
Ni 0.341 0.385 0.605
Ni 0.916 0.422 0.612
Ni 0.034 0.527 0.051
Ni 0.615 0.659 0.395
Ni 0.473 0.966 0.949
Ni 0.578 0.084 0.388

Results
calculated formation energy = -0.39 eV per atom
symmetry = C2

---

[3]
Below is a relaxed structure of FeNiP2, with properties calculated at the PBE-GGA level.

abc: 4.016 4.016 4.016
angles: 60.00 60.00 60.00
Element x y z (fractional)
Ni 0.500 0.500 0.500
Fe 0.000 0.000 0.000
P 0.750 0.750 0.750
P 0.250 0.250 0.250

Results
calculated formation energy = 0.00 eV per atom
symmetry = Fm-3m

---

[4]
Below is a relaxed structure of FeNi2P8, with properties calculated at the PBE-GGA level.

abc: 4.229 7.138 6.512
angles: 117.02 89.97 96.48
Element x y z (fractional)
P 0.729 0.285 0.142
P 0.328 0.705 0.353
P 0.672 0.295 0.647
P 0.626 0.847 0.159
P 0.374 0.153 0.841
P 0.271 0.715 0.858
P 0.627 0.847 0.689
P 0.373 0.153 0.311
Fe 0.000 0.000 0.000
Ni 0.820 0.634 0.317
Ni 0.180 0.366 0.683

Results
calculated formation energy = -0.01 eV per atom
symmetry = P-1

---

[5]
Below is a relaxed structure of FeNiP3, with properties calculated at the PBE-GGA level.

abc: 4.283 4.283 4.283
angles: 90.00 90.00 90.00
Element x y z (fractional)
P 0.000 0.000 0.500
P 0.000 0.500 0.000
P 0.500 0.000 0.000
Fe 0.000 0.000 0.000
Ni 0.500 0.500 0.500

Results
calculated formation energy = 0.70 eV per atom
excess energy over the best structure of this formula in the dataset = 498 kJ/mol of formula units
symmetry = Pm-3m

---

[6]
Below is a relaxed structure of Fe2NiP, with properties calculated at the PBE-GGA level.

abc: 2.701 2.701 6.141
angles: 90.00 90.00 89.99
Element x y z (fractional)
Ni 0.000 0.000 0.530
P 0.500 0.500 0.766
Fe 0.500 0.500 0.244
Fe 0.000 0.000 0.960

Results
calculated formation energy = -0.10 eV per atom
symmetry = P4mm

---

[7]
Below is a relaxed structure of Fe3NiP, with properties calculated at the PBE-GGA level.

abc: 4.304 4.304 4.304
angles: 90.00 90.00 90.00
Element x y z (fractional)
Ni 0.000 0.000 0.000
Fe 0.500 0.000 0.000
Fe 0.000 0.000 0.500
Fe 0.000 0.500 0.000
P 0.500 0.500 0.500

Results
calculated formation energy = 1.00 eV per atom
excess energy over the best structure of this formula in the dataset = 258 kJ/mol of formula units
symmetry = Pm-3m

---

[8]
Below is a relaxed structure of FeNi2P, with properties calculated at the PBE-GGA level.

abc: 4.698 4.698 3.889
angles: 65.50 65.50 34.91
Element x y z (fractional)
Fe 0.750 0.750 0.750
Ni 0.967 0.967 0.033
Ni 0.533 0.533 0.467
P 0.250 0.250 0.250

Results
calculated formation energy = -0.22 eV per atom
symmetry = Immm

---

[9]
Below is a relaxed structure of FeNiP3, with properties calculated at the PBE-GGA level.

abc: 5.649 5.796 9.527
angles: 90.31 89.84 120.87
Element x y z (fractional)
Ni 0.295 0.652 0.494
Ni 0.705 0.357 0.994
Ni 0.295 0.643 0.006
Ni 0.705 0.348 0.506
Fe 0.433 0.716 0.750
Fe 0.980 0.990 0.750
Fe 0.567 0.284 0.250
Fe 0.020 0.010 0.250
P 0.005 0.642 0.834
P 0.697 0.693 0.599
P 0.656 0.660 0.134
P 0.697 0.004 0.901
P 0.656 0.996 0.366
P 0.995 0.358 0.166
P 0.344 0.340 0.866
P 0.303 0.996 0.099
P 0.995 0.637 0.334
P 0.303 0.307 0.401
P 0.005 0.363 0.666
P 0.344 0.004 0.634

Results
calculated formation energy = -0.34 eV per atom
excess energy over the best structure of this formula in the dataset = 0 kJ/mol of formula units
symmetry = C2/c

---

[10]
Below is a relaxed structure of FeNiP2, with properties calculated at the PBE-GGA level.

abc: 3.810 3.810 4.688
angles: 79.29 79.29 43.11
Element x y z (fractional)
Fe 0.750 0.750 0.750
Ni 0.250 0.250 0.250
P 0.492 0.492 0.514
P 0.008 0.008 0.986

Results
calculated formation energy = -0.18 eV per atom
symmetry = C2/m

---

[11]
Below is a relaxed structure of Fe2NiP, with properties calculated at the PBE-GGA level.

abc: 3.399 3.399 8.727
angles: 78.77 78.77 90.00
Element x y z (fractional)
Fe 0.375 0.388 0.750
Fe 0.612 0.125 0.250
Fe 0.875 0.862 0.750
Fe 0.138 0.625 0.250
P 0.500 0.500 0.000
P 0.250 0.750 0.500
Ni 0.000 0.000 0.000
Ni 0.750 0.250 0.500

Results
calculated formation energy = 0.12 eV per atom
symmetry = I-42d

---

[12]
Below is a relaxed structure of FeNi2P, with properties calculated at the PBE-GGA level.

abc: 4.071 4.071 4.071
angles: 125.37 125.37 80.92
Element x y z (fractional)
Ni 0.250 0.750 0.500
Ni 0.000 0.000 0.000
Fe 0.750 0.250 0.500
P 0.500 0.500 0.000

Results
calculated formation energy = -0.16 eV per atom
symmetry = I-4m2

---

[13]
Below is a relaxed structure of FeNiP2, with properties calculated at the PBE-GGA level.

abc: 5.007 5.007 6.141
angles: 65.94 65.94 90.00
Element x y z (fractional)
P 0.616 0.125 0.250
P 0.875 0.866 0.750
P 0.134 0.625 0.250
P 0.375 0.384 0.750
Fe 0.500 0.500 0.000
Fe 0.250 0.750 0.500
Ni 0.750 0.250 0.500
Ni 0.000 0.000 0.000

Results
calculated formation energy = -0.10 eV per atom
symmetry = I-42d

---

[14]
Below is a relaxed structure of Fe2NiP8, with properties calculated at the PBE-GGA level.

abc: 3.526 8.254 6.882
angles: 63.25 113.91 112.79
Element x y z (fractional)
P 0.104 0.573 0.219
P 0.599 0.263 0.546
P 0.435 0.276 0.004
P 0.565 0.724 0.996
P 0.159 0.012 0.703
P 0.401 0.737 0.454
P 0.841 0.988 0.297
P 0.896 0.427 0.781
Fe 0.932 0.264 0.348
Fe 0.068 0.736 0.652
Ni 0.000 0.000 0.000

Results
calculated formation energy = -0.14 eV per atom
symmetry = P-1

---

[15]
Below is a relaxed structure of Fe2NiP, with properties calculated at the PBE-GGA level.

abc: 7.652 7.652 7.652
angles: 19.89 19.89 19.89
Element x y z (fractional)
Fe 0.007 0.007 0.007
Fe 0.251 0.251 0.251
Ni 0.494 0.494 0.494
P 0.748 0.748 0.748

Results
calculated formation energy = -0.03 eV per atom
symmetry = R3m

---

[16]
Below is a relaxed structure of FeNiP4, with properties calculated at the PBE-GGA level.

abc: 4.896 4.896 4.896
angles: 60.00 60.00 60.00
Element x y z (fractional)
P 0.375 0.375 0.876
P 0.876 0.375 0.375
P 0.375 0.876 0.375
P 0.375 0.375 0.375
Ni 0.000 0.000 0.000
Fe 0.750 0.750 0.750

Results
calculated formation energy = 0.74 eV per atom
excess energy over the best structure of this formula in the dataset = 511 kJ/mol of formula units
symmetry = F-43m

---

[17]
Below is a relaxed structure of FeNi2P, with properties calculated at the PBE-GGA level.

abc: 4.397 4.397 4.397
angles: 133.35 133.35 68.10
Element x y z (fractional)
Ni 0.500 0.500 0.000
Ni 0.000 0.000 0.000
P 0.250 0.750 0.500
Fe 0.750 0.250 0.500

Results
calculated formation energy = -0.15 eV per atom
symmetry = I4/mmm

---

[18]
Below is a relaxed structure of Fe2NiP, with properties calculated at the PBE-GGA level.

abc: 3.735 3.456 3.456
angles: 90.00 90.00 90.00
Element x y z (fractional)
Fe 0.000 0.000 0.000
Fe 0.000 0.500 0.500
Ni 0.500 0.500 0.000
P 0.500 0.000 0.500

Results
calculated formation energy = -0.15 eV per atom
symmetry = P4/mmm

---

[19]
Below is a relaxed structure of Fe7Ni5P4, with properties calculated at the PBE-GGA level.

abc: 4.394 6.705 6.712
angles: 84.03 71.19 71.27
Element x y z (fractional)
Fe 0.847 0.029 0.814
Fe 0.339 0.813 0.968
Fe 0.697 0.969 0.183
Fe 0.375 0.668 0.608
Fe 0.948 0.395 0.670
Fe 0.125 0.182 0.026
Fe 0.010 0.607 0.332
P 0.804 0.754 0.660
P 0.438 0.339 0.756
P 0.230 0.245 0.337
P 0.526 0.665 0.247
Ni 0.665 0.331 0.394
Ni 0.528 0.390 0.051
Ni 0.082 0.955 0.390
Ni 0.422 0.049 0.608
Ni 0.964 0.608 0.956

Results
calculated formation energy = -0.39 eV per atom
symmetry = P1

---

[20]
Below is a relaxed structure of FeNi2P, with properties calculated at the PBE-GGA level.

abc: 2.738 2.738 5.848
angles: 90.00 90.00 90.00
Element x y z (fractional)
P 0.000 0.000 0.507
Fe 0.500 0.500 0.722
Ni 0.000 0.000 0.994
Ni 0.500 0.500 0.278

Results
calculated formation energy = -0.11 eV per atom
symmetry = P4mm

---

[21]
Below is a relaxed structure of FeNi4P, with properties calculated at the PBE-GGA level.

abc: 4.657 4.657 4.657
angles: 60.00 60.00 60.00
Element x y z (fractional)
Ni 0.375 0.375 0.375
Ni 0.375 0.375 0.876
Ni 0.876 0.375 0.375
Ni 0.375 0.876 0.375
P 0.750 0.750 0.750
Fe 0.000 0.000 0.000

Results
calculated formation energy = 0.24 eV per atom
symmetry = F-43m

---

[22]
Below is a relaxed structure of FeNiP2, with properties calculated at the PBE-GGA level.

abc: 4.704 4.704 4.704
angles: 138.17 138.17 60.64
Element x y z (fractional)
P 0.250 0.750 0.500
P 0.000 0.000 0.000
Ni 0.750 0.250 0.500
Fe 0.500 0.500 0.000

Results
calculated formation energy = 0.04 eV per atom
symmetry = I-4m2

---

[23]
Below is a relaxed structure of Fe2NiP, with properties calculated at the PBE-GGA level.

abc: 4.591 4.591 3.937
angles: 64.50 64.50 36.77
Element x y z (fractional)
P 0.246 0.246 0.246
Ni 0.530 0.530 0.473
Fe 0.752 0.752 0.748
Fe 0.971 0.971 0.032

Results
calculated formation energy = -0.19 eV per atom
symmetry = Cm

---

[24]
Below is a relaxed structure of Fe2NiP, with properties calculated at the PBE-GGA level.

abc: 4.219 4.219 4.219
angles: 129.74 129.74 73.82
Element x y z (fractional)
Fe 0.250 0.750 0.500
Fe 0.000 0.000 0.000
Ni 0.500 0.500 0.000
P 0.750 0.250 0.500

Results
calculated formation energy = -0.14 eV per atom
symmetry = I-4m2

---

[25]
Below is a relaxed structure of FeNi2P, with properties calculated at the PBE-GGA level.

abc: 4.264 4.264 2.645
angles: 90.00 90.00 111.33
Element x y z (fractional)
Fe 0.000 0.500 0.500
Ni 0.000 0.000 0.000
Ni 0.500 0.500 0.000
P 0.500 0.000 0.500

Results
calculated formation energy = -0.08 eV per atom
symmetry = Cmmm

---

[26]
Below is a relaxed structure of Fe2NiP, with properties calculated at the PBE-GGA level.

abc: 4.293 5.473 2.628
angles: 61.09 90.11 119.30
Element x y z (fractional)
Fe 0.000 0.500 0.500
Fe 0.000 0.000 0.000
P 0.500 0.000 0.500
Ni 0.500 0.500 0.000

Results
calculated formation energy = -0.07 eV per atom
symmetry = C2/m